18
Lattice="5.866 0.097 -2.070 -3.340 5.057 -1.407 -0.156 -0.097 6.219" Properties=species:S:1:pos:R:3 comment="GaFe6B2 | Alexandria | GGA-PBE | optimized geometry" vol_a3_per_cell=183.42 total_energy_ev_per_cell=-137.704 formation_energy_ev_per_atom=-0.188 pbc="T T T"
Fe 2.894 3.643 -1.653
Fe 0.379 1.222 2.087
Fe -0.357 3.144 0.491
Fe 3.765 1.319 -1.786
Fe 0.522 3.546 2.956
Fe -1.394 3.738 4.527
Fe 3.984 0.129 0.520
Fe 2.727 1.913 2.251
Fe -0.523 1.414 4.394
Fe -1.614 4.928 2.221
Fe 1.849 1.511 -0.215
Fe 1.992 3.835 0.654
B 0.859 3.151 -1.182
B 1.511 1.907 3.924
B 2.072 0.000 1.506
B 3.638 0.000 2.643
Ga -1.748 2.480 2.406
Ga 0.000 0.000 0.000